(a)
# LaPm3Pd2, optimized geometry, DFT PBE-GGA
# total magnetization	0.00	μB/atom
data_LaPm3Pd2
_chemical_formula_sum 'La2 Pm6 Pd4'
_cell_length_a 4.095
_cell_length_b 9.225
_cell_length_c 10.542
_cell_angle_alpha 116.64
_cell_angle_beta 90.00
_cell_angle_gamma 102.82
_space_group_name_H-M_alt 'P 1'
_space_group_IT_number 1
loop_
_space_group_symop_operation_xyz
'x,y,z'
loop_
_atom_site_label
_atom_site_fract_x
_atom_site_fract_y
_atom_site_fract_z
_atom_site_occupancy
La1 0.893 0.786 0.988 1
La2 0.107 0.214 0.012 1
Pm1 0.288 0.577 0.652 1
Pm2 0.944 0.888 0.611 1
Pm3 0.637 0.273 0.732 1
Pm4 0.363 0.727 0.268 1
Pm5 0.056 0.112 0.389 1
Pm6 0.712 0.423 0.348 1
Pd1 0.475 0.951 0.841 1
Pd2 0.525 0.049 0.159 1
Pd3 0.744 0.489 0.087 1
Pd4 0.256 0.511 0.913 1

=====

(b)
# LaPm3Pd2, optimized geometry, DFT PBE-GGA
# total magnetization	0.00	μB/atom
data_LaPm3Pd2
_chemical_formula_sum 'La2 Pm6 Pd4'
_cell_length_a 6.988
_cell_length_b 7.377
_cell_length_c 8.038
_cell_angle_alpha 105.76
_cell_angle_beta 90.00
_cell_angle_gamma 118.27
_space_group_name_H-M_alt 'P 1'
_space_group_IT_number 1
loop_
_space_group_symop_operation_xyz
'x,y,z'
loop_
_atom_site_label
_atom_site_fract_x
_atom_site_fract_y
_atom_site_fract_z
_atom_site_occupancy
La1 0.245 0.000 0.250 1
La2 0.755 0.000 0.750 1
Pm1 0.251 0.000 0.750 1
Pm2 0.749 0.000 0.250 1
Pm3 0.783 0.570 0.893 1
Pm4 0.213 0.430 0.607 1
Pm5 0.787 0.570 0.393 1
Pm6 0.217 0.430 0.107 1
Pd1 0.381 0.759 0.440 1
Pd2 0.378 0.759 0.940 1
Pd3 0.622 0.241 0.060 1
Pd4 0.619 0.241 0.560 1

=====

Which of them is the least stable? Correct choice: (b).